No. 1
The following is a DFT calculation (PBE-GGA) of crystalline NaGaP2Ir4 at its relaxed geometry.

Unit cell a=4.071 b=4.071 c=7.749 alpha=90.00 beta=90.00 gamma=90.00
Fractional positions:
1 P 0.500 0.500 0.657
2 P 0.500 0.500 0.343
3 Ir 0.500 0.000 0.204
4 Ir 0.000 0.500 0.796
5 Ir 0.000 0.500 0.204
6 Ir 0.500 0.000 0.796
7 Na 0.000 0.000 0.500
8 Ga 0.000 0.000 0.000

Density in Mg/m³: 11.94
Calculated total energy in eV per atom: -6.7471
E_form in meV per atom: -421
Density of states at the Fermi level in states/eV per cell: 3.20

---

No. 2
The following is a DFT calculation (PBE-GGA) of crystalline Hg3W5 at its relaxed geometry.

Unit cell a=6.171 b=6.171 c=3.683 alpha=90.00 beta=90.00 gamma=91.57
Fractional positions:
1 W 0.235 0.765 0.500
2 W 0.000 0.500 0.000
3 W 0.500 0.000 0.000
4 W 0.000 0.000 0.000
5 W 0.765 0.235 0.500
6 Hg 0.752 0.752 0.500
7 Hg 0.500 0.500 0.000
8 Hg 0.248 0.248 0.500

Density in Mg/m³: 18.02
Energy relative to the lowest polymorph listed for this composition in meV per atom: 0
Calculated total energy in eV per atom: -7.4345
E_form in meV per atom: 774
Density of states at the Fermi level in states/eV per cell: 3.13

---

No. 3
The following is a DFT calculation (PBE-GGA) of crystalline Tm2AgPb2 at its relaxed geometry.

Unit cell a=7.482 b=7.694 c=9.407 alpha=90.00 beta=90.70 gamma=90.00
Fractional positions:
1 Tm 0.002 0.713 0.411
2 Tm 0.496 0.832 0.862
3 Tm 0.996 0.668 0.862
4 Tm 0.504 0.168 0.138
5 Tm 0.004 0.332 0.138
6 Tm 0.498 0.213 0.589
7 Tm 0.502 0.787 0.411
8 Tm 0.998 0.287 0.589
9 Ag 0.797 0.058 0.357
10 Ag 0.703 0.558 0.643
11 Ag 0.297 0.442 0.357
12 Ag 0.203 0.942 0.643
13 Pb 0.230 0.192 0.880
14 Pb 0.796 0.931 0.658
15 Pb 0.704 0.431 0.342
16 Pb 0.270 0.692 0.120
17 Pb 0.296 0.569 0.658
18 Pb 0.204 0.069 0.342
19 Pb 0.730 0.308 0.880
20 Pb 0.770 0.808 0.120

Density in Mg/m³: 10.55
Energy relative to the lowest polymorph listed for this composition in meV per atom: 0
Calculated total energy in eV per atom: -4.1444
E_form in meV per atom: -302
Density of states at the Fermi level in states/eV per cell: 10.46

---

No. 4
The following is a DFT calculation (PBE-GGA) of crystalline BeTlRu2 at its relaxed geometry.

Unit cell a=2.949 b=2.949 c=6.762 alpha=90.00 beta=90.00 gamma=90.00
Site moments in Bohr magnetons follow the coordinates.
Fractional positions:
1 Be 0.500 0.500 0.750  -0.01
2 Ru 0.000 0.000 0.936  0.32
3 Ru 0.000 0.000 0.564  0.32
4 Tl 0.500 0.500 0.250  0.00

Density in Mg/m³: 11.74
Energy relative to the lowest polymorph listed for this composition in meV per atom: 21
Calculated total energy in eV per atom: -5.8664
E_form in meV per atom: 295
Density of states at the Fermi level in states/eV per cell: 4.92

---

No. 5
The following is a DFT calculation (PBE-GGA) of crystalline MnAg at its relaxed geometry.

Unit cell a=2.897 b=4.610 c=9.137 alpha=90.00 beta=90.00 gamma=90.00
Fractional positions:
1 Ag 0.750 0.635 0.294
2 Ag 0.250 0.365 0.706
3 Ag 0.250 0.135 0.206
4 Ag 0.750 0.865 0.794
5 Mn 0.250 0.648 0.026
6 Mn 0.750 0.352 0.974
7 Mn 0.750 0.148 0.474
8 Mn 0.250 0.852 0.526

Density in Mg/m³: 8.86
Calculated total energy in eV per atom: -5.3975
E_form in meV per atom: 613
Density of states at the Fermi level in states/eV per cell: 7.39

---

No. 6
The following is a DFT calculation (PBE-GGA) of crystalline RbYMnS3 at its relaxed geometry.

Unit cell a=4.096 b=9.026 c=9.700 alpha=108.77 beta=90.00 gamma=90.00
Site moments in Bohr magnetons follow the coordinates.
Fractional positions:
1 S 0.750 0.876 0.140  0.06
2 S 0.750 0.468 0.153  0.02
3 S 0.250 0.124 0.860  0.06
4 S 0.250 0.532 0.847  0.02
5 S 0.750 0.194 0.543  0.11
6 S 0.250 0.806 0.457  0.11
7 Y 0.750 0.335 0.861  0.04
8 Y 0.250 0.665 0.139  0.04
9 Mn 0.250 0.087 0.612  4.17
10 Mn 0.750 0.913 0.388  4.17
11 Rb 0.750 0.791 0.766  0.00
12 Rb 0.250 0.209 0.234  0.00

Density in Mg/m³: 3.18
Calculated total energy in eV per atom: -6.2426